[1]
# AcPm2Pr3Te6 PBE optimized geometry
# Crystal system   monoclinic
# DOS at the Fermi energy   13.44 states/eV/cell
# Energy relative to the elements, uncorrected   -1.434 eV/atom
data_AcPm2Pr3Te6
_chemical_formula_sum 'Ac2 Pm4 Pr6 Te12'
_cell_length_a 7.839
_cell_length_b 13.667
_cell_length_c 7.890
_cell_angle_alpha 90.00
_cell_angle_beta 109.57
_cell_angle_gamma 90.00
_symmetry_space_group_name_H-M 'C 1 2/m 1'
_symmetry_Int_Tables_number 12
loop_
_symmetry_equiv_pos_as_xyz
'x,y,z'
'-x,-y,-z'
'-x,y,-z'
'x,-y,z'
'x+1/2,y+1/2,z'
'-x+1/2,-y+1/2,-z'
'-x+1/2,y+1/2,-z'
'x+1/2,-y+1/2,z'
loop_
_atom_site_label
_atom_site_type_symbol
_atom_site_fract_x
_atom_site_fract_y
_atom_site_fract_z
_atom_site_occupancy
Ac1 Ac 0.000 0.000 0.000 1
Pm1 Pm 0.000 0.332 0.000 1
Pr1 Pr 0.000 0.159 0.500 1
Pr2 Pr 0.000 0.500 0.500 1
Te1 Te 0.237 0.500 0.245 1
Te2 Te 0.243 0.328 0.747 1



[2]
# Ho2ScCd5 PBE optimized geometry
# Crystal system   tetragonal
# DOS at the Fermi energy   7.48 states/eV/cell
# ΔH_f (0 K)   -2.15 eV/f.u.
data_Ho2ScCd5
_chemical_formula_sum 'Ho4 Sc2 Cd10'
_cell_length_a 5.025
_cell_length_b 5.025
_cell_length_c 14.893
_cell_angle_alpha 90.00
_cell_angle_beta 90.00
_cell_angle_gamma 90.00
_symmetry_space_group_name_H-M 'I 4/m m m'
_symmetry_Int_Tables_number 139
_symmetry_space_group_name_Hall '-I 4 2'
loop_
_atom_site_label
_atom_site_type_symbol
_atom_site_fract_x
_atom_site_fract_y
_atom_site_fract_z
_atom_site_occupancy
Ho1 Ho 0.000 0.000 0.242 1
Sc1 Sc 0.000 0.000 0.500 1
Cd1 Cd 0.000 0.000 0.000 1
Cd2 Cd 0.000 0.500 0.116 1



[3]
# BaLiAg3 PBE optimized geometry
# Crystal system   orthorhombic
# DOS at the Fermi energy   8.80 states/eV/cell
# ΔH_f (0 K)   -0.80 eV/f.u.
data_BaLiAg3
_chemical_formula_sum 'Ba4 Li4 Ag12'
_cell_length_a 5.702
_cell_length_b 10.125
_cell_length_c 9.100
_cell_angle_alpha 90.00
_cell_angle_beta 90.00
_cell_angle_gamma 90.00
_symmetry_space_group_name_H-M 'I m m a'
_symmetry_Int_Tables_number 74
_symmetry_space_group_name_Hall '-I 2b 2'
loop_
_atom_site_label
_atom_site_type_symbol
_atom_site_fract_x
_atom_site_fract_y
_atom_site_fract_z
_atom_site_occupancy
Ba1 Ba 0.000 0.250 0.050 1
Li1 Li 0.000 0.000 0.500 1
Ag1 Ag 0.000 0.250 0.664 1
Ag2 Ag 0.250 0.017 0.750 1



[4]
# TcIrBr2 PBE optimized geometry
# Crystal system   monoclinic
# DOS at the Fermi energy   6.19 states/eV/cell
# Energy relative to the elements, uncorrected   0.166 eV/atom
data_TcIrBr2
_chemical_formula_sum 'Tc2 Ir2 Br4'
_cell_length_a 6.389
_cell_length_b 3.623
_cell_length_c 8.733
_cell_angle_alpha 90.00
_cell_angle_beta 99.94
_cell_angle_gamma 90.00
_symmetry_space_group_name_H-M 'C 1 m 1'
_symmetry_Int_Tables_number 8
loop_
_symmetry_equiv_pos_as_xyz
'x,y,z'
'x,-y,z'
'x+1/2,y+1/2,z'
'x+1/2,-y+1/2,z'
loop_
_atom_site_label
_atom_site_type_symbol
_atom_site_fract_x
_atom_site_fract_y
_atom_site_fract_z
_atom_site_occupancy
Tc1 Tc 0.000 0.000 0.000 1
Ir1 Ir 0.139 0.500 0.865 1
Br1 Br 0.272 0.000 0.650 1
Br2 Br 0.476 0.000 0.220 1



[5]
# YHg2Au PBE optimized geometry
# Crystal system   tetragonal
# DOS at the Fermi energy   4.25 states/eV/cell
# ΔH_f (0 K)   -1.81 eV/f.u.
data_YHg2Au
_chemical_formula_sum 'Y2 Hg4 Au2'
_cell_length_a 5.066
_cell_length_b 5.066
_cell_length_c 6.987
_cell_angle_alpha 90.00
_cell_angle_beta 90.00
_cell_angle_gamma 90.00
_symmetry_space_group_name_H-M 'I -4 m 2'
_symmetry_Int_Tables_number 119
_symmetry_space_group_name_Hall 'I -4 -2'
loop_
_atom_site_label
_atom_site_type_symbol
_atom_site_fract_x
_atom_site_fract_y
_atom_site_fract_z
_atom_site_occupancy
Y1 Y 0.000 0.000 0.000 1
Hg1 Hg 0.000 0.000 0.500 1
Hg2 Hg 0.000 0.500 0.250 1
Au1 Au 0.000 0.500 0.750 1



[6]
# HoPaAu4 PBE optimized geometry
# Crystal system   monoclinic
# DOS at the Fermi energy   11.38 states/eV/cell
# ΔH_f (0 K)   -3.65 eV/f.u.
data_HoPaAu4
_chemical_formula_sum 'Ho2 Pa2 Au8'
_cell_length_a 9.953
_cell_length_b 3.625
_cell_length_c 7.767
_cell_angle_alpha 90.00
_cell_angle_beta 112.63
_cell_angle_gamma 90.00
_symmetry_space_group_name_H-M 'C 1 2/m 1'
_symmetry_Int_Tables_number 12
loop_
_symmetry_equiv_pos_as_xyz
'x,y,z'
'-x,-y,-z'
'-x,y,-z'
'x,-y,z'
'x+1/2,y+1/2,z'
'-x+1/2,-y+1/2,-z'
'-x+1/2,y+1/2,-z'
'x+1/2,-y+1/2,z'
loop_
_atom_site_label
_atom_site_type_symbol
_atom_site_fract_x
_atom_site_fract_y
_atom_site_fract_z
_atom_site_occupancy
Ho1 Ho 0.000 0.000 0.000 1
Pa1 Pa 0.000 0.000 0.500 1
Au1 Au 0.165 0.500 0.328 1
Au2 Au 0.167 0.500 0.836 1